Entry from the Alexandria database: a relaxed Pm4GaS3 crystal (PBE-GGA).

Lattice parameters (Å, degrees): 5.7924 5.7924 5.7924 90.00 90.00 90.00
Fractional coordinates of all 8 atoms:
Pm  0.0000  0.5000  0.0000
S  0.0000  0.5000  0.5000
S  0.5000  0.5000  0.0000
S  0.5000  0.0000  0.5000
Pm  0.5000  0.5000  0.5000
Ga  0.0000  0.0000  0.0000
Pm  0.0000  0.0000  0.5000
Pm  0.5000  0.0000  0.0000

## Properties
For the total magnetic moment, the calculation gives 0.000 μB/atom. For the formation energy without anion corrections, the calculation gives -1.70 eV per atom. As for the density of states at the Fermi level: 2.81 states/eV per cell.



Entry from the Alexandria database: a relaxed Tm4Cd5Au2 crystal (PBE-GGA).

Lattice parameters (Å, degrees): 3.4888 7.6826 9.9009 94.08 90.00 90.00
Fractional coordinates of all 11 atoms:
Tm  0.5000  0.7580  0.5544
Au  0.0000  0.9328  0.3599
Tm  0.5000  0.8331  0.1316
Au  0.0000  0.0672  0.6401
Cd  0.0000  0.4542  0.6916
Cd  0.0000  0.5458  0.3084
Tm  0.5000  0.1669  0.8684
Tm  0.5000  0.2420  0.4456
Cd  0.0000  0.8109  0.8476
Cd  0.0000  0.5000  0.0000
Cd  0.0000  0.1891  0.1524

## Properties
For the total magnetic moment, the calculation gives 0.000 μB/atom. The energy of formation comes out at -0.458 eV per atom. As for the density of states at the Fermi level: 5.95 states/eV per cell.